Entry 1:
A plane-wave DFT calculation with PBE was carried out for a geometry-optimized ZrCr2In structure.

Unit cell a=3.2907 b=3.2907 c=6.5331 alpha=90.00 beta=90.00 gamma=90.00
Last column: nearest neighbours and their distance in Å.
Element x y z (fractional)
Zr  0.0000  0.0000  0.0000  8 Cr 2.83
Cr  0.5000  0.5000  0.2468  4 Zr 2.83, 4 In 2.85
Cr  0.5000  0.5000  0.7532  4 Zr 2.83, 4 In 2.85
In  0.0000  0.0000  0.5000  8 Cr 2.85

Values from the calculation:
- volume (Å³/atom) = 17.7
- E (eV per cell) = -29.50


Entry 2:
A plane-wave DFT calculation with PBE was carried out for a geometry-optimized Zr2CrIn structure.

Unit cell a=3.2127 b=4.8176 c=5.3634 alpha=90.00 beta=95.63 gamma=90.00
Last column: nearest neighbours and their distance in Å.
Element x y z (fractional)
Zr  0.0000  0.0000  0.0000  4 Cr 2.91-3.08, 3 In 2.97-3.02, 4 Zr 3.11-3.21
Zr  0.1549  0.5000  0.6529  3 Cr 2.83-3.16, 4 In 2.99-3.11, 2 Zr 3.11
Cr  0.5721  0.5000  0.1435  7 Zr 2.83-3.16, 2 In 2.99
In  0.5900  0.0000  0.4734  7 Zr 2.97-3.11, 2 Cr 2.99, 2 In 3.21

Values from the calculation:
- volume (Å³/atom) = 20.7
- E (eV per cell) = -29.32